Material: Pm4Pb2F
Method: DFT, GGA-PBE
State: relaxed Values from VASP.

magnetic moment = 1.56 μB/f.u.
E_form (uncorrected) = -1.02 eV per atom
total energy = -5.06 eV/atom

Quantum ESPRESSO input file:
```
&SYSTEM
  ibrav = 0, nat = 7, ntyp = 3
/
ATOMIC_SPECIES
Pb 207.20 Pb.upf
F 19.00 F.upf
Pm 145.00 Pm.upf
CELL_PARAMETERS angstrom
-2.576 3.925 -0.564
-3.952 -2.597 -0.022
-3.893 1.546 8.715
ATOMIC_POSITIONS crystal
Pb 0.634 0.634 0.732
Pb 0.366 0.366 0.268
F 0.000 0.000 0.000
Pm 0.814 0.814 0.372
Pm 0.186 0.186 0.628
Pm 0.000 0.500 0.000
Pm 0.500 0.000 0.000
```


Material: PmPbF5
Method: DFT, GGA-PBE
State: relaxed Values from VASP.

magnetic moment = 0.00 μB/f.u.
E_form (uncorrected) = -3.28 eV per atom
total energy = -5.83 eV/atom

Quantum ESPRESSO input file:
```
&SYSTEM
  ibrav = 0, nat = 14, ntyp = 3
/
ATOMIC_SPECIES
Pm 145.00 Pm.upf
Pb 207.20 Pb.upf
F 19.00 F.upf
CELL_PARAMETERS angstrom
-2.276 -4.440 1.457
3.248 -0.768 3.984
-4.993 4.257 4.729
ATOMIC_POSITIONS crystal
Pm 0.518 0.482 0.750
Pm 0.482 0.518 0.250
Pb 0.000 0.000 0.000
Pb 0.000 0.000 0.500
F 0.622 0.055 0.810
F 0.408 0.276 0.497
F 0.055 0.622 0.310
F 0.192 0.808 0.750
F 0.724 0.592 0.003
F 0.276 0.408 0.997
F 0.808 0.192 0.250
F 0.945 0.378 0.690
F 0.592 0.724 0.503
F 0.378 0.945 0.190
```


Material: PmPb2F11
Method: DFT, GGA-PBE
State: relaxed Values from VASP.

magnetic moment = 0.00 μB/f.u.
E_form (uncorrected) = -2.51 eV per atom
total energy = -4.85 eV/atom

Quantum ESPRESSO input file:
```
&SYSTEM
  ibrav = 0, nat = 28, ntyp = 3
/
ATOMIC_SPECIES
Pm 145.00 Pm.upf
Pb 207.20 Pb.upf
F 19.00 F.upf
CELL_PARAMETERS angstrom
7.151 0.000 3.727
3.298 7.509 2.396
0.094 -0.111 8.543
ATOMIC_POSITIONS crystal
Pm 0.750 0.750 0.750
Pm 0.250 0.250 0.250
Pb 0.640 0.682 0.318
Pb 0.360 0.318 0.682
Pb 0.860 0.182 0.818
Pb 0.140 0.818 0.182
F 0.636 0.706 0.561
F 0.364 0.294 0.439
F 0.097 0.561 0.706
F 0.864 0.939 0.794
F 0.903 0.439 0.294
F 0.136 0.061 0.206
F 0.403 0.794 0.939
F 0.597 0.206 0.061
F 0.500 0.500 0.500
F 0.000 0.000 0.000
F 0.872 0.788 0.212
F 0.128 0.212 0.788
F 0.628 0.288 0.712
F 0.372 0.712 0.288
F 0.458 0.960 0.322
F 0.542 0.040 0.678
F 0.260 0.322 0.960
F 0.042 0.178 0.540
F 0.740 0.678 0.040
F 0.958 0.822 0.460
F 0.240 0.540 0.178
F 0.760 0.460 0.822
```


Material: PmPb2F6
Method: DFT, GGA-PBE
State: relaxed Values from VASP.

magnetic moment = 0.14 μB/f.u.
E_form (uncorrected) = -2.77 eV per atom
total energy = -5.37 eV/atom

Quantum ESPRESSO input file:
```
&SYSTEM
  ibrav = 0, nat = 9, ntyp = 3
/
ATOMIC_SPECIES
Pm 145.00 Pm.upf
Pb 207.20 Pb.upf
F 19.00 F.upf
CELL_PARAMETERS angstrom
3.570 0.000 0.000
1.785 7.865 0.027
1.785 3.458 6.252
ATOMIC_POSITIONS crystal
Pm 0.000 0.500 0.500
Pb 0.160 0.882 0.797
Pb 0.840 0.118 0.203
F 0.601 0.498 0.300
F 0.399 0.502 0.700
F 0.989 0.811 0.212
F 0.326 0.883 0.464
F 0.011 0.189 0.788
F 0.674 0.117 0.536
```


Material: Pm2PbF
Method: DFT, GGA-PBE
State: relaxed Values from VASP.

magnetic moment = 0.00 μB/f.u.
E_form (uncorrected) = -1.28 eV per atom
total energy = -5.05 eV/atom

Quantum ESPRESSO input file:
```
&SYSTEM
  ibrav = 0, nat = 4, ntyp = 3
/
ATOMIC_SPECIES
Pb 207.20 Pb.upf
F 19.00 F.upf
Pm 145.00 Pm.upf
CELL_PARAMETERS angstrom
4.368 0.000 0.000
2.184 3.783 0.000
2.184 1.261 6.273
ATOMIC_POSITIONS crystal
Pb 0.000 0.000 0.000
F 0.500 0.500 0.500
Pm 0.762 0.762 0.714
Pm 0.238 0.238 0.286
```


Material: Pm6Pb3F
Method: DFT, GGA-PBE
State: relaxed Values from VASP.

magnetic moment = 0.00 μB/f.u.
E_form (uncorrected) = -0.80 eV per atom
total energy = -4.95 eV/atom

Quantum ESPRESSO input file:
```
&SYSTEM
  ibrav = 0, nat = 20, ntyp = 3
/
ATOMIC_SPECIES
Pm 145.00 Pm.upf
Pb 207.20 Pb.upf
F 19.00 F.upf
CELL_PARAMETERS angstrom
6.508 0.000 0.000
0.000 9.678 0.348
0.000 -1.820 9.511
ATOMIC_POSITIONS crystal
Pm 0.156 0.772 0.672
Pm 0.656 0.672 0.772
Pm 0.220 0.470 0.890
Pm 0.720 0.890 0.470
Pm 0.010 0.091 0.909
Pm 0.724 0.302 0.698
Pm 0.224 0.698 0.302
Pm 0.510 0.909 0.091
Pm 0.220 0.110 0.530
Pm 0.720 0.530 0.110
Pm 0.156 0.328 0.228
Pm 0.656 0.228 0.328
Pb 0.514 0.993 0.766
Pb 0.014 0.766 0.993
Pb 0.391 0.477 0.523
Pb 0.891 0.523 0.477
Pb 0.014 0.007 0.234
Pb 0.514 0.234 0.007
F 0.079 0.258 0.742
F 0.579 0.742 0.258
```


Question: Which of these has the highest E_form (uncorrected)?
Answer: Pm6Pb3F


Copy entry 2 word for word.
Material: PmPbF5
Method: DFT, GGA-PBE
State: relaxed Values from VASP.

magnetic moment = 0.00 μB/f.u.
E_form (uncorrected) = -3.28 eV per atom
total energy = -5.83 eV/atom

Quantum ESPRESSO input file:
```
&SYSTEM
  ibrav = 0, nat = 14, ntyp = 3
/
ATOMIC_SPECIES
Pm 145.00 Pm.upf
Pb 207.20 Pb.upf
F 19.00 F.upf
CELL_PARAMETERS angstrom
-2.276 -4.440 1.457
3.248 -0.768 3.984
-4.993 4.257 4.729
ATOMIC_POSITIONS crystal
Pm 0.518 0.482 0.750
Pm 0.482 0.518 0.250
Pb 0.000 0.000 0.000
Pb 0.000 0.000 0.500
F 0.622 0.055 0.810
F 0.408 0.276 0.497
F 0.055 0.622 0.310
F 0.192 0.808 0.750
F 0.724 0.592 0.003
F 0.276 0.408 0.997
F 0.808 0.192 0.250
F 0.945 0.378 0.690
F 0.592 0.724 0.503
F 0.378 0.945 0.190
```


Question: total energy of number 3 (PmPb2F11)?
Answer: -4.85 eV/atom


Question: What is the formula in the sixth record?
Answer: Pm6Pb3F